# 1
# TmTc (PBE, optimized geometry)
data_TmTc
_symmetry_space_group_name_H-M 'P -6 m 2'
_symmetry_Int_Tables_number 187
_symmetry_space_group_name_Hall 'P -6 2'
_cell_length_a 3.3143
_cell_length_b 3.3143
_cell_length_c 4.2256
_cell_angle_alpha 90.00
_cell_angle_beta 90.00
_cell_angle_gamma 120.00
loop_
_atom_site_label
_atom_site_fract_x
_atom_site_fract_y
_atom_site_fract_z
Tm1 0.0000 0.0000 0.0000
Tc1 0.3333 0.6667 0.5000
# Energy relative to the elements = 0.36 eV per atom
# E = -14.1 eV for the cell shown
# Mass density = 11.03 Mg/m³

---

# 2
# PrNdNi2Ge4 (PBE, optimized geometry)
data_PrNdNi2Ge4
_symmetry_space_group_name_H-M 'A m m 2'
_symmetry_Int_Tables_number 38
_cell_length_a 4.2459
_cell_length_b 4.2467
_cell_length_c 16.7775
_cell_angle_alpha 90.00
_cell_angle_beta 90.00
_cell_angle_gamma 90.00
loop_
_symmetry_equiv_pos_as_xyz
'x,y,z'
'-x,-y,z'
'-x,y,z'
'x,-y,z'
'x,y+1/2,z+1/2'
'-x,-y+1/2,z+1/2'
'-x,y+1/2,z+1/2'
'x,-y+1/2,z+1/2'
loop_
_atom_site_label
_atom_site_fract_x
_atom_site_fract_y
_atom_site_fract_z
Pr1 0.0000 0.0000 0.0000
Nd1 0.5000 0.0000 0.2156
Ni1 0.0000 0.0000 0.7893
Ni2 0.5000 0.0000 0.4259
Ge1 0.0000 0.0000 0.3581
Ge2 0.0000 0.0000 0.6502
Ge3 0.5000 0.0000 0.5655
Ge4 0.5000 0.0000 0.8570
# E = -90.3 eV for the cell shown
# Mass density = 7.61 Mg/m³

---

# 3
# Cu15Ge (PBE, optimized geometry)
data_Cu15Ge
_symmetry_space_group_name_H-M 'P 1 21/m 1'
_symmetry_Int_Tables_number 11
_cell_length_a 5.1016
_cell_length_b 3.6056
_cell_length_c 34.3959
_cell_angle_alpha 90.00
_cell_angle_beta 90.22
_cell_angle_gamma 90.00
loop_
_symmetry_equiv_pos_as_xyz
'x,y,z'
'-x,-y,-z'
'-x,y+1/2,-z'
'x,-y+1/2,z'
loop_
_atom_site_label
_atom_site_fract_x
_atom_site_fract_y
_atom_site_fract_z
Cu1 0.1238 0.2500 0.3320
Cu2 0.1254 0.2500 0.2560
Cu3 0.1252 0.2500 0.4068
Cu4 0.1248 0.2500 0.4815
Cu5 0.1251 0.2500 0.5563
Cu6 0.1250 0.2500 0.6308
Cu7 0.1249 0.2500 0.7055
Cu8 0.1251 0.2500 0.7800
Cu9 0.3739 0.7500 0.6681
Cu10 0.3750 0.7500 0.2951
Cu11 0.3749 0.7500 0.3693
Cu12 0.3751 0.7500 0.4441
Cu13 0.3748 0.7500 0.5187
Cu14 0.3752 0.7500 0.5934
Cu15 0.3749 0.7500 0.7440
Ge1 0.3756 0.7500 0.2179
# Distance to the lowest polymorph of the same formula = 19 meV/atom
# E = -118.7 eV for the cell shown
# Mass density = 5.38 Mg/m³

---

# 4
# NaZrAgTe3 (PBE, optimized geometry)
data_NaZrAgTe3
_symmetry_space_group_name_H-M 'P n m a'
_symmetry_Int_Tables_number 62
_cell_length_a 11.1298
_cell_length_b 4.1064
_cell_length_c 14.6535
_cell_angle_alpha 90.00
_cell_angle_beta 90.00
_cell_angle_gamma 90.00
loop_
_symmetry_equiv_pos_as_xyz
'x,y,z'
'-x,-y,-z'
'-x+1/2,-y,z+1/2'
'x+1/2,y,-z+1/2'
'x+1/2,-y+1/2,-z+1/2'
'-x+1/2,y+1/2,z+1/2'
'-x,y+1/2,-z'
'x,-y+1/2,z'
loop_
_atom_site_label
_atom_site_fract_x
_atom_site_fract_y
_atom_site_fract_z
Na1 0.2335 0.2500 0.0193
Zr1 0.0219 0.7500 0.7483
Ag1 0.2385 0.7500 0.2102
Te1 0.0277 0.7500 0.1125
Te2 0.0565 0.2500 0.6069
Te3 0.2341 0.2500 0.3380
# Distance to the lowest polymorph of the same formula = 42 meV/atom
# E = -104.9 eV for the cell shown
# Mass density = 6.00 Mg/m³